Here is a relaxed PmDy6Pd3 crystal from Alexandria via LeMat-Bulk. Energies are from PBE.

Cell lengths 8.7323, 8.7323, 7.2299 Å; angles 90.00, 90.00, 98.14 degrees
With the nearest neighbours (Å) after each atom.
Fractional positions:
Pm 0.1841 0.8159 0.5000  1 Pd 2.85
Pm 0.8159 0.1841 0.0000  1 Pd 2.85
Dy 0.0809 0.4653 0.7171  2 Pd 2.94-3.05
Dy 0.1299 0.2093 0.3700  4 Pd 2.76-2.92
Dy 0.2093 0.1299 0.8700  4 Pd 2.76-2.92
Dy 0.2684 0.7316 0.0186  3 Pd 2.77-2.79
Dy 0.4653 0.0809 0.2171  2 Pd 2.94-3.05
Dy 0.4675 0.5325 0.3757  4 Pd 3.15-3.16
Dy 0.5325 0.4675 0.8757  4 Pd 3.15-3.16
Dy 0.5347 0.9191 0.7171  2 Pd 2.94-3.05
Dy 0.7316 0.2684 0.5186  3 Pd 2.77-2.79
Dy 0.7907 0.8701 0.3700  4 Pd 2.76-2.92
Dy 0.8701 0.7907 0.8700  4 Pd 2.76-2.92
Dy 0.9191 0.5347 0.2171  2 Pd 2.94-3.05
Pd 0.0735 0.9265 0.1607  5 Dy 2.77-2.90, 1 Pm 2.85
Pd 0.2108 0.4141 0.0836  5 Dy 2.76-3.05
Pd 0.4141 0.2108 0.5836  5 Dy 2.76-3.05
Pd 0.5859 0.7892 0.0836  5 Dy 2.76-3.05
Pd 0.7892 0.5859 0.5836  5 Dy 2.76-3.05
Pd 0.9265 0.0735 0.6607  5 Dy 2.77-2.90, 1 Pm 2.85

Calculated values
The calculation puts the energy of formation from the pure elements at -0.499 eV/atom. The calculation puts the energy at -105.85 eV per cell. The value obtained for the density of states at the Fermi level is 11.49 states/eV/f.u.